1.
TmGa3C: relaxed, PBE.

Structure (extended XYZ):
```
5
Lattice="4.436 0.000 0.000 0.000 4.436 0.000 0.000 0.000 4.436" Properties=species:S:1:pos:R:3 pbc="T T T"
Tm 0.000 0.000 0.000
Ga 0.000 2.218 2.218
Ga 2.218 0.000 2.218
Ga 2.218 2.218 0.000
C 2.218 2.218 2.218
```

Summary:
Uncorrected energy, eV per cell: -20.4
Total magnetic moment, μB per cell: 0.0
ρ, g/cm3: 7.42

***

2.
Tm3GaC: relaxed, PBE.

Structure (extended XYZ):
```
5
Lattice="4.765 0.000 0.000 0.000 4.765 0.000 0.000 0.000 4.765" Properties=species:S:1:pos:R:3 pbc="T T T"
Tm 0.000 0.000 2.383
Tm 0.000 2.383 0.000
Tm 2.383 0.000 0.000
Ga 2.383 2.383 2.383
C 0.000 0.000 0.000
```

Summary:
Uncorrected energy, eV per cell: -28.2
Total magnetic moment, μB per cell: 0.0
ρ, g/cm3: 9.03

***

3.
GaW3C2: relaxed, PBE.

Structure (extended XYZ):
```
12
Lattice="3.083 0.000 0.000 -1.541 2.670 0.000 0.000 0.000 18.385" Properties=species:S:1:pos:R:3 pbc="T T T"
Ga 0.000 0.000 4.596
Ga 0.000 0.000 13.789
W 0.000 0.000 0.000
W 0.000 0.000 9.192
W 0.000 1.780 2.435
W 0.000 1.780 6.757
W 1.541 0.890 11.627
W 1.541 0.890 15.950
C 0.000 1.780 10.489
C 0.000 1.780 17.089
C 1.541 0.890 1.296
C 1.541 0.890 7.896
```

Summary:
Uncorrected energy, eV per cell: -118.5
Total magnetic moment, μB per cell: 0.0
ρ, g/cm3: 14.16

***

4.
GaW2C: relaxed, PBE.

Structure (extended XYZ):
```
8
Lattice="3.069 0.000 0.000 -1.534 2.658 0.000 0.000 0.000 13.236" Properties=species:S:1:pos:R:3 pbc="T T T"
Ga 0.000 1.772 3.309
Ga 1.534 0.886 9.927
W 0.000 1.772 7.803
W 0.000 1.772 12.050
W 1.534 0.886 1.186
W 1.534 0.886 5.432
C 0.000 0.000 0.000
C 0.000 0.000 6.618
```

Summary:
Uncorrected energy, eV per cell: -75.6
Total magnetic moment, μB per cell: 0.0
ρ, g/cm3: 13.83

***

5.
GaW2C: relaxed, PBE.

Structure (extended XYZ):
```
24
Lattice="2.665 1.538 13.198 -2.665 1.538 13.198 0.000 -3.077 13.198" Properties=species:S:1:pos:R:3 pbc="T T T"
Ga -0.888 -1.538 16.497
Ga -1.776 0.000 23.096
Ga -0.888 1.538 16.497
Ga 0.888 -1.538 23.096
Ga 1.776 0.000 16.497
Ga 0.888 1.538 23.096
W -1.774 0.000 14.373
W -1.778 0.002 18.621
W -0.891 -1.539 20.972
W -0.887 -1.537 25.220
W 0.887 -1.536 14.373
W 0.887 -1.541 18.621
W -0.887 1.541 20.972
W -0.887 1.536 25.220
W 0.887 1.537 14.373
W 0.891 1.539 18.621
W 1.778 -0.002 20.972
W 1.774 0.000 25.220
C 0.000 0.000 0.000
C 0.000 0.000 6.599
C 0.000 0.000 13.198
C 0.000 0.000 19.797
C 0.000 0.000 26.395
C 0.000 0.000 32.994
```

Summary:
Uncorrected energy, eV per cell: -226.9
Total magnetic moment, μB per cell: 0.0
ρ, g/cm3: 13.79

***

6.
GaW4C3: relaxed, PBE.

Structure (extended XYZ):
```
16
Lattice="3.075 0.000 0.000 -1.537 2.663 0.000 0.000 0.000 23.545" Properties=species:S:1:pos:R:3 pbc="T T T"
Ga 0.000 1.775 5.886
Ga 1.537 0.888 17.659
W 0.000 0.000 3.737
W 0.000 0.000 8.035
W 0.000 0.000 15.510
W 0.000 0.000 19.808
W 0.000 1.775 1.269
W 0.000 1.775 10.504
W 1.537 0.888 13.041
W 1.537 0.888 22.277
C 0.000 0.000 0.000
C 0.000 0.000 11.773
C 0.000 1.775 14.363
C 0.000 1.775 20.955
C 1.537 0.888 2.590
C 1.537 0.888 9.182
```

Summary:
Uncorrected energy, eV per cell: -161.6
Total magnetic moment, μB per cell: 0.0
ρ, g/cm3: 14.49

***

The highest ρ belongs to which entry? GaW4C3